Entry 1:
# PBE Lu2MgPa, relaxed
data_Lu2MgPa
_chemical_formula_sum 'Lu2 Mg1 Pa1'
_cell_length_a 3.3666
_cell_length_b 3.3666
_cell_length_c 9.3812
_cell_angle_alpha 90.00
_cell_angle_beta 90.00
_cell_angle_gamma 90.00
_space_group_name_H-M_alt 'P 4/m m m'
_space_group_IT_number 123
_space_group_name_Hall '-P 4 2'
loop_
_atom_site_label
_atom_site_fract_x
_atom_site_fract_y
_atom_site_fract_z
Lu1 0.0000 0.0000 0.2497
Mg1 0.5000 0.5000 0.0000
Pa1 0.5000 0.5000 0.5000
# Calculated total energy: -4.9900 eV per atom
# Volume: 106.3 Å³/cell
# Calculated formation energy: 0.043 eV per atom
# Spin magnetization: 0.13 μB/f.u.

Entry 2:
# PBE Lu2MgPa, relaxed
data_Lu2MgPa
_chemical_formula_sum 'Lu8 Mg4 Pa4'
_cell_length_a 7.5613
_cell_length_b 7.5613
_cell_length_c 7.5613
_cell_angle_alpha 90.00
_cell_angle_beta 90.00
_cell_angle_gamma 90.00
_space_group_name_H-M_alt 'F m -3 m'
_space_group_IT_number 225
_space_group_name_Hall '-F 4 2 3'
loop_
_atom_site_label
_atom_site_fract_x
_atom_site_fract_y
_atom_site_fract_z
Lu1 0.2500 0.2500 0.2500
Mg1 0.0000 0.0000 0.0000
Pa1 0.0000 0.0000 0.5000
# Calculated total energy: -4.6892 eV per atom
# Volume: 432.3 Å³/cell
# Calculated formation energy: 0.344 eV per atom
# Spin magnetization: 2.56 μB/f.u.

Entry 3:
# PBE LuMg4Pa, relaxed
data_LuMg4Pa
_chemical_formula_sum 'Lu4 Mg16 Pa4'
_cell_length_a 8.3563
_cell_length_b 8.3563
_cell_length_c 8.3563
_cell_angle_alpha 90.00
_cell_angle_beta 90.00
_cell_angle_gamma 90.00
_space_group_name_H-M_alt 'F -4 3 m'
_space_group_IT_number 216
_space_group_name_Hall 'F -4 2 3'
loop_
_atom_site_label
_atom_site_fract_x
_atom_site_fract_y
_atom_site_fract_z
Lu1 0.0000 0.0000 0.0000
Mg1 0.1249 0.1249 0.3751
Pa1 0.2500 0.2500 0.7500
# Calculated total energy: -3.2275 eV per atom
# Volume: 583.5 Å³/cell
# Calculated formation energy: 0.172 eV per atom
# Spin magnetization: 0.01 μB/f.u.

Entry 4:
# PBE Lu2MgPa, relaxed
data_Lu2MgPa
_chemical_formula_sum 'Lu2 Mg1 Pa1'
_cell_length_a 5.5134
_cell_length_b 5.5134
_cell_length_c 3.4585
_cell_angle_alpha 90.00
_cell_angle_beta 90.00
_cell_angle_gamma 90.00
_space_group_name_H-M_alt 'P 4/m m m'
_space_group_IT_number 123
_space_group_name_Hall '-P 4 2'
loop_
_atom_site_label
_atom_site_fract_x
_atom_site_fract_y
_atom_site_fract_z
Lu1 0.0000 0.5000 0.0000
Mg1 0.0000 0.0000 0.5000
Pa1 0.5000 0.5000 0.5000
# Calculated total energy: -4.8407 eV per atom
# Volume: 105.1 Å³/cell
# Calculated formation energy: 0.192 eV per atom
# Spin magnetization: 0.00 μB/f.u.

Entry 5:
# PBE PrLuMgPa, relaxed
data_PrLuMgPa
_chemical_formula_sum 'Pr4 Lu4 Mg4 Pa4'
_cell_length_a 7.6515
_cell_length_b 7.6515
_cell_length_c 7.6515
_cell_angle_alpha 90.00
_cell_angle_beta 90.00
_cell_angle_gamma 90.00
_space_group_name_H-M_alt 'F -4 3 m'
_space_group_IT_number 216
_space_group_name_Hall 'F -4 2 3'
loop_
_atom_site_label
_atom_site_fract_x
_atom_site_fract_y
_atom_site_fract_z
Pr1 0.0000 0.0000 0.0000
Lu1 0.0000 0.0000 0.5000
Mg1 0.2500 0.2500 0.2500
Pa1 0.2500 0.2500 0.7500
# Calculated total energy: -4.7473 eV per atom
# Volume: 448.0 Å³/cell
# Calculated formation energy: 0.350 eV per atom
# Spin magnetization: 0.00 μB/f.u.

Entry 6:
# PBE LuMgScPa, relaxed
data_LuMgScPa
_chemical_formula_sum 'Lu4 Mg4 Sc4 Pa4'
_cell_length_a 7.4204
_cell_length_b 7.4204
_cell_length_c 7.4204
_cell_angle_alpha 90.00
_cell_angle_beta 90.00
_cell_angle_gamma 90.00
_space_group_name_H-M_alt 'F -4 3 m'
_space_group_IT_number 216
_space_group_name_Hall 'F -4 2 3'
loop_
_atom_site_label
_atom_site_fract_x
_atom_site_fract_y
_atom_site_fract_z
Lu1 0.0000 0.0000 0.0000
Mg1 0.2500 0.2500 0.2500
Sc1 0.0000 0.0000 0.5000
Pa1 0.2500 0.2500 0.7500
# Calculated total energy: -5.1592 eV per atom
# Volume: 408.6 Å³/cell
# Calculated formation energy: 0.327 eV per atom
# Spin magnetization: 2.28 μB/f.u.

Entry 7:
# PBE SmLuMgPa, relaxed
data_SmLuMgPa
_chemical_formula_sum 'Sm4 Lu4 Mg4 Pa4'
_cell_length_a 7.6074
_cell_length_b 7.6074
_cell_length_c 7.6074
_cell_angle_alpha 90.00
_cell_angle_beta 90.00
_cell_angle_gamma 90.00
_space_group_name_H-M_alt 'F -4 3 m'
_space_group_IT_number 216
_space_group_name_Hall 'F -4 2 3'
loop_
_atom_site_label
_atom_site_fract_x
_atom_site_fract_y
_atom_site_fract_z
Sm1 0.0000 0.0000 0.0000
Lu1 0.0000 0.0000 0.5000
Mg1 0.2500 0.2500 0.7500
Pa1 0.2500 0.2500 0.2500
# Calculated total energy: -4.7329 eV per atom
# Volume: 440.3 Å³/cell
# Calculated formation energy: 0.350 eV per atom
# Spin magnetization: 0.02 μB/f.u.

Entry 8:
# PBE TbLuMgPa, relaxed
data_TbLuMgPa
_chemical_formula_sum 'Tb4 Lu4 Mg4 Pa4'
_cell_length_a 7.6121
_cell_length_b 7.6121
_cell_length_c 7.6121
_cell_angle_alpha 90.00
_cell_angle_beta 90.00
_cell_angle_gamma 90.00
_space_group_name_H-M_alt 'F -4 3 m'
_space_group_IT_number 216
_space_group_name_Hall 'F -4 2 3'
loop_
_atom_site_label
_atom_site_fract_x
_atom_site_fract_y
_atom_site_fract_z
Tb1 0.0000 0.0000 0.0000
Lu1 0.0000 0.0000 0.5000
Mg1 0.2500 0.2500 0.7500
Pa1 0.2500 0.2500 0.2500
# Calculated total energy: -4.7118 eV per atom
# Volume: 441.1 Å³/cell
# Calculated formation energy: 0.349 eV per atom
# Spin magnetization: 2.22 μB/f.u.

Entry 9:
# PBE LuThMgPa, relaxed
data_LuThMgPa
_chemical_formula_sum 'Lu4 Th4 Mg4 Pa4'
_cell_length_a 7.6096
_cell_length_b 7.6096
_cell_length_c 7.6096
_cell_angle_alpha 90.00
_cell_angle_beta 90.00
_cell_angle_gamma 90.00
_space_group_name_H-M_alt 'F -4 3 m'
_space_group_IT_number 216
_space_group_name_Hall 'F -4 2 3'
loop_
_atom_site_label
_atom_site_fract_x
_atom_site_fract_y
_atom_site_fract_z
Lu1 0.0000 0.0000 0.0000
Th1 0.0000 0.0000 0.5000
Mg1 0.2500 0.2500 0.7500
Pa1 0.2500 0.2500 0.2500
# Calculated total energy: -5.4643 eV per atom
# Volume: 440.6 Å³/cell
# Calculated formation energy: 0.294 eV per atom
# Spin magnetization: 0.00 μB/f.u.

Entry 10:
# PBE TmLuMgPa, relaxed
data_TmLuMgPa
_chemical_formula_sum 'Tm4 Lu4 Mg4 Pa4'
_cell_length_a 7.5796
_cell_length_b 7.5796
_cell_length_c 7.5796
_cell_angle_alpha 90.00
_cell_angle_beta 90.00
_cell_angle_gamma 90.00
_space_group_name_H-M_alt 'F -4 3 m'
_space_group_IT_number 216
_space_group_name_Hall 'F -4 2 3'
loop_
_atom_site_label
_atom_site_fract_x
_atom_site_fract_y
_atom_site_fract_z
Tm1 0.0000 0.0000 0.0000
Lu1 0.0000 0.0000 0.5000
Mg1 0.2500 0.2500 0.7500
Pa1 0.2500 0.2500 0.2500
# Calculated total energy: -4.6771 eV per atom
# Volume: 435.4 Å³/cell
# Calculated formation energy: 0.344 eV per atom
# Spin magnetization: 2.58 μB/f.u.

Entry 11:
# PBE LuMgPb, relaxed
data_LuMgPb
_chemical_formula_sum 'Lu1 Mg1 Pb1'
_cell_length_a 5.0321
_cell_length_b 5.0321
_cell_length_c 3.4860
_cell_angle_alpha 90.00
_cell_angle_beta 90.00
_cell_angle_gamma 120.00
_space_group_name_H-M_alt 'P 3 m 1'
_space_group_IT_number 156
loop_
_space_group_symop_operation_xyz
'x,y,z'
'-y,x-y,z'
'-x+y,-x,z'
'-y,-x,z'
'-x+y,y,z'
'x,x-y,z'
loop_
_atom_site_label
_atom_site_fract_x
_atom_site_fract_y
_atom_site_fract_z
Lu1 0.0000 0.0000 0.0000
Mg1 0.3333 0.6667 0.4976
Pb1 0.6667 0.3333 0.5028
# Calculated total energy: -3.4878 eV per atom
# Volume: 76.4 Å³/cell
# Calculated formation energy: -0.213 eV per atom
# Spin magnetization: 0.00 μB/f.u.

Entry 12:
# PBE LuMgPb, relaxed
data_LuMgPb
_chemical_formula_sum 'Lu2 Mg2 Pb2'
_cell_length_a 3.5113
_cell_length_b 3.5113
_cell_length_c 12.8783
_cell_angle_alpha 90.00
_cell_angle_beta 90.00
_cell_angle_gamma 90.00
_space_group_name_H-M_alt 'I 4 m m'
_space_group_IT_number 107
_space_group_name_Hall 'I 4 -2'
loop_
_atom_site_label
_atom_site_fract_x
_atom_site_fract_y
_atom_site_fract_z
Lu1 0.0000 0.0000 0.0000
Mg1 0.0000 0.0000 0.3300
Pb1 0.0000 0.0000 0.6757
# Calculated total energy: -3.4220 eV per atom
# Volume: 158.8 Å³/cell
# Calculated formation energy: -0.147 eV per atom
# Spin magnetization: 0.00 μB/f.u.

Entry 13:
# PBE LuMgPb, relaxed
data_LuMgPb
_chemical_formula_sum 'Lu4 Mg4 Pb4'
_cell_length_a 7.0309
_cell_length_b 7.0309
_cell_length_c 7.0309
_cell_angle_alpha 90.00
_cell_angle_beta 90.00
_cell_angle_gamma 90.00
_space_group_name_H-M_alt 'F -4 3 m'
_space_group_IT_number 216
_space_group_name_Hall 'F -4 2 3'
loop_
_atom_site_label
_atom_site_fract_x
_atom_site_fract_y
_atom_site_fract_z
Lu1 0.0000 0.0000 0.0000
Mg1 0.0000 0.0000 0.5000
Pb1 0.2500 0.2500 0.2500
# Calculated total energy: -3.3435 eV per atom
# Volume: 347.6 Å³/cell
# Calculated formation energy: -0.069 eV per atom
# Spin magnetization: 0.00 μB/f.u.

Entry 14:
# PBE LuMgPtPb, relaxed
data_LuMgPtPb
_chemical_formula_sum 'Lu4 Mg4 Pt4 Pb4'
_cell_length_a 6.9978
_cell_length_b 6.9978
_cell_length_c 6.9978
_cell_angle_alpha 90.00
_cell_angle_beta 90.00
_cell_angle_gamma 90.00
_space_group_name_H-M_alt 'F -4 3 m'
_space_group_IT_number 216
_space_group_name_Hall 'F -4 2 3'
loop_
_atom_site_label
_atom_site_fract_x
_atom_site_fract_y
_atom_site_fract_z
Lu1 0.0000 0.0000 0.0000
Mg1 0.0000 0.0000 0.5000
Pt1 0.2500 0.2500 0.7500
Pb1 0.2500 0.2500 0.2500
# Calculated total energy: -4.5407 eV per atom
# Volume: 342.7 Å³/cell
# Calculated formation energy: -0.575 eV per atom
# Spin magnetization: 0.00 μB/f.u.

Entry 15:
# PBE LuMgRhPb, relaxed
data_LuMgRhPb
_chemical_formula_sum 'Lu4 Mg4 Rh4 Pb4'
_cell_length_a 6.9439
_cell_length_b 6.9439
_cell_length_c 6.9439
_cell_angle_alpha 90.00
_cell_angle_beta 90.00
_cell_angle_gamma 90.00
_space_group_name_H-M_alt 'F -4 3 m'
_space_group_IT_number 216
_space_group_name_Hall 'F -4 2 3'
loop_
_atom_site_label
_atom_site_fract_x
_atom_site_fract_y
_atom_site_fract_z
Lu1 0.0000 0.0000 0.0000
Mg1 0.0000 0.0000 0.5000
Rh1 0.2500 0.2500 0.2500
Pb1 0.2500 0.2500 0.7500
# Calculated total energy: -4.6633 eV per atom
# Volume: 334.8 Å³/cell
# Calculated formation energy: -0.369 eV per atom
# Spin magnetization: 0.00 μB/f.u.

Entry 16:
# PBE LuMgScPb, relaxed
data_LuMgScPb
_chemical_formula_sum 'Lu4 Mg4 Sc4 Pb4'
_cell_length_a 7.3424
_cell_length_b 7.3424
_cell_length_c 7.3424
_cell_angle_alpha 90.00
_cell_angle_beta 90.00
_cell_angle_gamma 90.00
_space_group_name_H-M_alt 'F -4 3 m'
_space_group_IT_number 216
_space_group_name_Hall 'F -4 2 3'
loop_
_atom_site_label
_atom_site_fract_x
_atom_site_fract_y
_atom_site_fract_z
Lu1 0.0000 0.0000 0.0000
Mg1 0.2500 0.2500 0.2500
Sc1 0.0000 0.0000 0.5000
Pb1 0.2500 0.2500 0.7500
# Calculated total energy: -4.2290 eV per atom
# Volume: 395.8 Å³/cell
# Calculated formation energy: -0.190 eV per atom
# Spin magnetization: 0.00 μB/f.u.